No. 1
A plane-wave DFT calculation with PBE was carried out for a geometry-optimized LiAl5Te8 structure.

Cell lengths 8.2514, 8.2514, 8.2514 Å; angles 60.00, 60.00, 60.00 degrees
Atoms (fractional coordinates):
1 Te 0.8654 0.4037 0.8654
2 Te 0.4037 0.8654 0.8654
3 Te 0.8654 0.8654 0.4037
4 Te 0.3821 0.3821 0.8538
5 Te 0.3821 0.8538 0.3821
6 Te 0.8654 0.8654 0.8654
7 Te 0.8538 0.3821 0.3821
8 Te 0.3821 0.3821 0.3821
9 Li 0.2500 0.2500 0.2500
10 Al 0.6170 0.6170 0.1490
11 Al 0.6170 0.1490 0.6170
12 Al 0.0000 0.0000 0.0000
13 Al 0.1490 0.6170 0.6170
14 Al 0.6170 0.6170 0.6170

Properties
Total energy: -3.71 eV/atom

=====

No. 2
A plane-wave DFT calculation with PBE was carried out for a geometry-optimized Mg6SiAg5 structure.

Cell lengths 4.7650, 6.5070, 7.5267 Å; angles 90.00, 71.55, 90.00 degrees
Atoms (fractional coordinates):
1 Mg 0.1660 0.7498 0.6679
2 Mg 0.8340 0.2502 0.3321
3 Mg 0.5000 0.7549 0.0000
4 Mg 0.8340 0.7498 0.3321
5 Mg 0.5000 0.2451 0.0000
6 Mg 0.1660 0.2502 0.6679
7 Ag 0.3350 0.5000 0.3300
8 Ag 0.6700 0.0000 0.6601
9 Ag 0.6650 0.5000 0.6700
10 Ag 0.3300 0.0000 0.3399
11 Ag 0.0000 0.5000 0.0000
12 Si 0.0000 0.0000 0.0000

Properties
Total energy: -2.61 eV/atom

=====

No. 3
A plane-wave DFT calculation with PBE was carried out for a geometry-optimized TlAg2Os structure.

Cell lengths 4.0261, 4.0261, 4.4336 Å; angles 90.00, 90.00, 90.00 degrees
Atoms (fractional coordinates):
1 Ag 0.5000 0.5000 0.0000
2 Ag 0.0000 0.0000 0.0000
3 Tl 0.0000 0.5000 0.5000
4 Os 0.5000 0.0000 0.5000

Properties
Formation enthalpy at 0 K: 0.698 eV per atom

=====

No. 4
A plane-wave DFT calculation with PBE was carried out for a geometry-optimized MnRh3 structure.

Cell lengths 4.6850, 4.6850, 10.8477 Å; angles 150.16, 150.16, 34.14 degrees
Last column: magnetic moment on the atom in μB.
Atoms (fractional coordinates):
1 Rh 0.0000 0.0000 0.5000  -0.10
2 Rh 0.9952 0.9952 0.2480  0.00
3 Rh 0.0048 0.0048 0.7520  0.00
4 Mn 0.0000 0.0000 0.0000  3.36

Properties
Formation enthalpy at 0 K: -0.062 eV per atom

=====

No. 5
A plane-wave DFT calculation with PBE was carried out for a geometry-optimized KCaReN3 structure.

Cell lengths 3.5412, 6.5393, 10.6857 Å; angles 117.70, 90.00, 105.71 degrees
Atoms (fractional coordinates):
1 N 0.1230 0.2459 0.7854
2 N 0.4260 0.8519 0.5929
3 N 0.8770 0.7541 0.2146
4 N 0.5740 0.1481 0.4071
5 N 0.8849 0.7697 0.7926
6 N 0.1151 0.2303 0.2074
7 Ca 0.3398 0.6797 0.3456
8 Ca 0.6602 0.3203 0.6544
9 K 0.3736 0.7471 0.9923
10 K 0.6264 0.2529 0.0077
11 Re 0.0425 0.0850 0.3154
12 Re 0.9575 0.9150 0.6846

Properties
Total energy: -7.20 eV/atom

=====

No. 6
A plane-wave DFT calculation with PBE was carried out for a geometry-optimized Tl13Hg2 structure.

Cell lengths 8.8227, 8.8227, 9.7625 Å; angles 63.14, 63.14, 60.00 degrees
Atoms (fractional coordinates):
1 Tl 0.7421 0.7421 0.4025
2 Tl 0.5000 0.5000 0.5000
3 Tl 0.2579 0.2579 0.5975
4 Tl 0.5255 0.5255 0.8217
5 Tl 0.4745 0.4745 0.1783
6 Tl 0.1132 0.7421 0.4025
7 Tl 0.8868 0.2579 0.5975
8 Tl 0.7421 0.1132 0.4025
9 Tl 0.1273 0.5255 0.8217
10 Tl 0.5255 0.1273 0.8217
11 Tl 0.8727 0.4745 0.1783
12 Tl 0.2579 0.8868 0.5975
13 Tl 0.4745 0.8727 0.1783
14 Hg 0.7484 0.7484 0.7548
15 Hg 0.2516 0.2516 0.2452

Properties
Formation enthalpy at 0 K: 0.139 eV per atom

=====

No. 7
A plane-wave DFT calculation with PBE was carried out for a geometry-optimized NaLi8Mg2 structure.

Cell lengths 4.8681, 6.0158, 8.5012 Å; angles 93.77, 106.64, 90.00 degrees
Atoms (fractional coordinates):
1 Li 0.8572 0.8232 0.7144
2 Li 0.6883 0.9033 0.3766
3 Li 0.5980 0.4624 0.1960
4 Li 0.9536 0.2910 0.9073
5 Li 0.0464 0.7090 0.0927
6 Li 0.1428 0.1768 0.2856
7 Li 0.4020 0.5376 0.8040
8 Li 0.3117 0.0967 0.6234
9 Mg 0.7749 0.3635 0.5498
10 Mg 0.2251 0.6365 0.4502
11 Na 0.5000 0.0000 0.0000

Properties
Formation enthalpy at 0 K: -0.001 eV per atom

=====

No. 8
A plane-wave DFT calculation with PBE was carried out for a geometry-optimized CaPmAl2Si2 structure.

Cell lengths 4.1958, 4.1958, 8.5940 Å; angles 90.00, 90.00, 120.00 degrees
Atoms (fractional coordinates):
1 Al 0.3333 0.6667 0.7540
2 Al 0.6667 0.3333 0.2460
3 Si 0.3333 0.6667 0.2539
4 Si 0.6667 0.3333 0.7461
5 Pm 0.0000 0.0000 0.0000
6 Ca 0.0000 0.0000 0.5000

Properties
Total energy: -4.66 eV/atom

=====

No. 9
A plane-wave DFT calculation with PBE was carried out for a geometry-optimized NaPuO3 structure.

Cell lengths 6.6154, 6.6154, 6.6154 Å; angles 90.00, 90.00, 90.00 degrees
Last column: magnetic moment on the atom in μB.
Atoms (fractional coordinates):
1 Na 0.8808 0.8808 0.8808  0.00
2 Na 0.6192 0.1192 0.3808  0.00
3 Na 0.3808 0.6192 0.1192  0.00
4 Na 0.1192 0.3808 0.6192  0.00
5 O 0.3388 0.9857 0.2037  -0.15
6 O 0.8388 0.5143 0.7963  -0.15
7 O 0.9857 0.2037 0.3388  -0.15
8 O 0.2963 0.6612 0.4857  -0.15
9 O 0.5143 0.7963 0.8388  -0.15
10 O 0.2037 0.3388 0.9857  -0.15
11 O 0.0143 0.7037 0.1612  -0.15
12 O 0.7963 0.8388 0.5143  -0.15
13 O 0.4857 0.2963 0.6612  -0.15
14 O 0.1612 0.0143 0.7037  -0.15
15 O 0.6612 0.4857 0.2963  -0.15
16 O 0.7037 0.1612 0.0143  -0.15
17 Pu 0.0972 0.9028 0.4028  3.44
18 Pu 0.4028 0.0972 0.9028  3.44
19 Pu 0.9028 0.4028 0.0972  3.44
20 Pu 0.5972 0.5972 0.5972  3.44

Properties
Total energy: -8.55 eV/atom

=====

No. 10
A plane-wave DFT calculation with PBE was carried out for a geometry-optimized Hg11Pb17Au structure.

Cell lengths 10.1981, 10.1981, 10.3458 Å; angles 109.99, 109.99, 108.37 degrees
Atoms (fractional coordinates):
1 Pb 0.9993 0.5932 0.3102
2 Pb 0.0154 0.3402 0.0052
3 Pb 0.5932 0.9993 0.3102
4 Pb 0.3402 0.0154 0.0052
5 Pb 0.6633 0.6633 0.6845
6 Pb 0.5861 0.3183 0.9982
7 Pb 0.2878 0.6861 0.6880
8 Pb 0.6946 0.4102 0.3977
9 Pb 0.3056 0.9909 0.5960
10 Pb 0.0041 0.0041 0.0051
11 Pb 0.6945 0.6945 0.2840
12 Pb 0.3857 0.3857 0.6954
13 Pb 0.6861 0.2878 0.6880
14 Pb 0.4102 0.6946 0.3977
15 Pb 0.9909 0.3056 0.5960
16 Pb 0.3183 0.5861 0.9982
17 Pb 0.0121 0.0121 0.3399
18 Hg 0.1813 0.3687 0.3593
19 Hg 0.1973 0.8090 0.1949
20 Hg 0.1833 0.1833 0.8159
21 Hg 0.8041 0.9947 0.6279
22 Hg 0.0107 0.6316 0.8186
23 Hg 0.8179 0.6295 0.0039
24 Hg 0.6316 0.0107 0.8186
25 Hg 0.3687 0.1813 0.3593
26 Hg 0.6295 0.8179 0.0039
27 Hg 0.9947 0.8041 0.6279
28 Hg 0.8090 0.1973 0.1949
29 Au 0.3849 0.3849 0.1753

Properties
Formation enthalpy at 0 K: 0.031 eV per atom

=====

No. 11
A plane-wave DFT calculation with PBE was carried out for a geometry-optimized RbHgBr2 structure.

Cell lengths 9.4534, 9.4534, 9.4534 Å; angles 31.22, 31.22, 31.22 degrees
Atoms (fractional coordinates):
1 Hg 0.5000 0.5000 0.5000
2 Rb 0.0000 0.0000 0.0000
3 Br 0.8835 0.8835 0.8835
4 Br 0.1165 0.1165 0.1165

Properties
Total energy: -1.74 eV/atom

=====

Number 1: total moment 0.0 μB per cell, volume 28.38 Å³/atom, Fermi-level density of states 2.62 states/eV/f.u.. Number 2: total moment 0.0 μB per cell, volume 18.45 Å³/atom, Fermi-level density of states 3.86 states/eV/f.u.. Number 3: total moment 0.0 μB per cell, volume 17.97 Å³/atom, Fermi-level density of states 3.64 states/eV/f.u.. Number 4: total moment 3.4 μB per cell, volume 14.04 Å³/atom, Fermi-level density of states 4.85 states/eV/f.u.. Number 5: total moment 0.0 μB per cell, volume 17.38 Å³/atom, Fermi-level density of states 1.90 states/eV/f.u.. Number 6: total moment 0.0 μB per cell, volume 37.43 Å³/atom, Fermi-level density of states 6.44 states/eV/f.u.. Number 7: total moment 0.0 μB per cell, volume 21.63 Å³/atom, Fermi-level density of states 4.42 states/eV/f.u.. Number 8: total moment 0.0 μB per cell, volume 21.84 Å³/atom, Fermi-level density of states 3.80 states/eV/f.u.. Number 9: total moment 12.0 μB per cell, volume 14.48 Å³/atom, Fermi-level density of states 4.50 states/eV/f.u.. Number 10: total moment 0.0 μB per cell, volume 28.58 Å³/atom, Fermi-level density of states 8.95 states/eV/f.u.. Number 11: total moment 0.0 μB per cell, volume 50.36 Å³/atom, Fermi-level density of states 4.30 states/eV/f.u..